Entry 1:
Entry from the Alexandria database: a geometry-optimized BeGaTe2N structure (PBE).

Cell: 5.704 5.704 3.099 Å, 90.00 90.00 90.00°
Positions (direct):
Be 0.000 0.000 0.000
Te 0.000 0.500 0.000
Te 0.500 0.000 0.000
Ga 0.500 0.500 0.500
N 0.000 0.000 0.500

Output
**Mass density**: 5.73 g cm⁻³
**Space group**: P4/mmm (123)
**Formation energy without anion corrections**: 1.342 eV per formula unit
**ΔE to the lowest computed polymorph**: 0 meV/atom

Entry 2:
Entry from the Alexandria database: a geometry-optimized Y2BeGaN structure (PBE).

Cell: 4.985 4.985 3.438 Å, 90.00 90.00 90.00°
Positions (direct):
Y 0.000 0.500 0.000
Y 0.500 0.000 0.000
Be 0.000 0.000 0.500
Ga 0.500 0.500 0.500
N 0.000 0.000 0.000

Output
**Mass density**: 5.26 g cm⁻³
**Space group**: P4/mmm (123)
**Formation energy without anion corrections**: -4.063 eV per formula unit

Entry 3:
Entry from the Alexandria database: a geometry-optimized Zr2BeGaN structure (PBE).

Cell: 4.662 4.662 3.352 Å, 90.00 90.00 90.00°
Positions (direct):
Be 0.000 0.000 0.500
Ga 0.500 0.500 0.500
Zr 0.000 0.500 0.000
Zr 0.500 0.000 0.000
N 0.000 0.000 0.000

Output
**Mass density**: 6.27 g cm⁻³
**Space group**: P4/mmm (123)
**Formation energy without anion corrections**: -3.668 eV per formula unit